[1]
A plane-wave DFT calculation with PBE-GGA was carried out for K3Er3AlSe8 after structural relaxation.

DOS(E_F): 9.995 states/eV/cell
Crystal system: trigonal
Space-group type: No. 166

a b c (Å): 9.204 9.204 9.204
angles (deg): 52.01 52.01 52.01
Element x y z (fractional)
K: 0.000 0.500 0.500
K: 0.500 0.000 0.500
K: 0.500 0.500 0.000
Er: 0.000 0.000 0.500
Er: 0.000 0.500 0.000
Er: 0.500 0.000 0.000
Al: 0.500 0.500 0.500
Se: 0.235 0.235 0.235
Se: 0.253 0.719 0.719
Se: 0.281 0.281 0.747
Se: 0.281 0.747 0.281
Se: 0.719 0.253 0.719
Se: 0.719 0.719 0.253
Se: 0.747 0.281 0.281
Se: 0.765 0.765 0.765

[2]
A plane-wave DFT calculation with PBE-GGA was carried out for K4Er3AlSe8 after structural relaxation.

Crystal system: trigonal
Space-group type: No. 166

a b c (Å): 9.018 9.018 9.018
angles (deg): 54.25 54.25 54.25
Element x y z (fractional)
K: 0.000 0.000 0.000
K: 0.000 0.500 0.500
K: 0.500 0.000 0.500
K: 0.500 0.500 0.000
Er: 0.000 0.000 0.500
Er: 0.000 0.500 0.000
Er: 0.500 0.000 0.000
Al: 0.500 0.500 0.500
Se: 0.235 0.235 0.235
Se: 0.251 0.722 0.722
Se: 0.278 0.278 0.749
Se: 0.278 0.749 0.278
Se: 0.722 0.251 0.722
Se: 0.722 0.722 0.251
Se: 0.749 0.278 0.278
Se: 0.765 0.765 0.765

[3]
A plane-wave DFT calculation with PBE-GGA was carried out for K2ErAlSe4 after structural relaxation.

Crystal system: orthorhombic
Space-group type: No. 74

a b c (Å): 8.456 8.456 8.456
angles (deg): 121.70 118.77 89.62
Element x y z (fractional)
K: 0.000 0.000 0.000
K: 0.500 0.000 0.000
K: 0.500 0.000 0.500
K: 0.500 0.500 0.500
Er: 0.000 0.500 0.500
Er: 0.500 0.500 0.000
Al: 0.000 0.000 0.500
Al: 0.000 0.500 0.000
Se: 0.193 0.740 0.453
Se: 0.213 0.260 0.953
Se: 0.227 0.249 0.522
Se: 0.227 0.705 0.978
Se: 0.773 0.295 0.022
Se: 0.773 0.751 0.478
Se: 0.787 0.740 0.047
Se: 0.807 0.260 0.547

[4]
A plane-wave DFT calculation with PBE-GGA was carried out for K3Er3AlTe8 after structural relaxation.

DOS(E_F): 6.896 states/eV/cell
Crystal system: monoclinic
Space-group type: No. 12

a b c (Å): 8.614 8.614 9.912
angles (deg): 115.79 115.79 59.94
Element x y z (fractional)
K: 0.000 0.000 0.000
K: 0.000 0.500 0.000
K: 0.500 0.000 0.000
Er: 0.000 0.500 0.500
Er: 0.500 0.000 0.500
Er: 0.500 0.500 0.500
Al: 0.000 0.000 0.500
Te: 0.223 0.223 0.696
Te: 0.223 0.750 0.696
Te: 0.250 0.777 0.304
Te: 0.264 0.264 0.291
Te: 0.736 0.736 0.709
Te: 0.750 0.223 0.696
Te: 0.777 0.250 0.304
Te: 0.777 0.777 0.304

no.,formation energy without anion corrections (eV/atom),total moment (μB/atom)
1,-1.465,0.00
2,-1.538,0.00
3,-1.273,0.00
4,-1.104,0.00